*P*
A plane-wave DFT calculation with PBE was carried out for a relaxed structure of ErTm3Hg4.

Lattice parameters (Å, degrees): 14.1166 5.2514 5.9119 90.00 108.11 90.00
Space group C2/m (No. 12)
Asymmetric unit:
Er 0.0000 0.0000 0.0000 (multiplicity 2)
Tm 0.0000 0.5000 0.5000 (multiplicity 2)
Tm 0.1666 0.5000 0.0789 (multiplicity 4)
Hg 0.1125 0.0000 0.6492 (multiplicity 4)
Hg 0.2408 0.0000 0.3258 (multiplicity 4)

Results
- N(E_F): 0.73 states/eV per atom
- Calculated density: 11.77 g/cm3

=====

*Q*
A plane-wave DFT calculation with PBE was carried out for a relaxed structure of ErTm3Hg4.

Lattice parameters (Å, degrees): 5.1767 5.1767 7.4266 90.00 90.00 90.00
Space group P4/mmm (No. 123)
Asymmetric unit:
Er 0.0000 0.0000 0.0000 (multiplicity 1)
Tm 0.0000 0.0000 0.5000 (multiplicity 1)
Tm 0.5000 0.5000 0.0000 (multiplicity 1)
Tm 0.5000 0.5000 0.5000 (multiplicity 1)
Hg 0.0000 0.5000 0.2512 (multiplicity 4)

Results
- N(E_F): 0.75 states/eV per atom
- Calculated density: 12.32 g/cm3

=====

The most stable arrangement is *Q*, and the next structure is 209 meV/atom less stable.

=====

*P*
A plane-wave DFT calculation with PBE was carried out for a relaxed structure of YEr3Hg2.

Lattice parameters (Å, degrees): 7.0294 14.3700 7.4275 90.00 90.00 90.00
Space group Ibam (No. 72)
Asymmetric unit:
Y 0.0000 0.0000 0.0000 (multiplicity 4)
Er 0.0000 0.2284 0.2500 (multiplicity 8)
Er 0.0000 0.5000 0.2500 (multiplicity 4)
Hg 0.1979 0.3594 0.0000 (multiplicity 8)

Results
- N(E_F): 0.78 states/eV per atom
- Calculated density: 8.78 g/cm3

=====

*Q*
A plane-wave DFT calculation with PBE was carried out for a relaxed structure of YEr3Hg2.

Lattice parameters (Å, degrees): 5.0680 9.1567 7.0459 90.00 90.00 90.00
Space group Pmc2_1 (No. 26)
Asymmetric unit:
Y 0.0000 0.0551 0.0000 (multiplicity 2)
Er 0.0000 0.3265 0.6528 (multiplicity 2)
Er 0.5000 0.1770 0.3156 (multiplicity 2)
Er 0.5000 0.4437 0.9677 (multiplicity 2)
Hg 0.0000 0.3513 0.2228 (multiplicity 2)
Hg 0.5000 0.1488 0.7449 (multiplicity 2)

Results
- N(E_F): 0.35 states/eV per atom
- Calculated density: 10.07 g/cm3

=====

The most stable arrangement is *Q*, and the next structure is 268 meV/atom less stable.

=====

*P*
A plane-wave DFT calculation with PBE was carried out for a relaxed structure of YEr2Hg.

Lattice parameters (Å, degrees): 3.5914 3.5914 31.5021 90.00 90.00 120.00
Space group R-3m (No. 166, hexagonal axes)
Asymmetric unit:
Y 0.0000 0.0000 0.0000 (multiplicity 3)
Er 0.0000 0.0000 0.2424 (multiplicity 6)
Hg 0.0000 0.0000 0.5000 (multiplicity 3)

Results
- N(E_F): 0.98 states/eV per atom
- Calculated density: 8.83 g/cm3

=====

*Q*
A plane-wave DFT calculation with PBE was carried out for a relaxed structure of YEr2Hg.

Lattice parameters (Å, degrees): 3.7600 5.3156 11.3537 90.00 90.00 90.00
Space group Immm (No. 71)
Asymmetric unit:
Y 0.0000 0.0000 0.0000 (multiplicity 2)
Er 0.0000 0.5000 0.2196 (multiplicity 4)
Hg 0.0000 0.0000 0.5000 (multiplicity 2)

Results
- N(E_F): 0.92 states/eV per atom
- Calculated density: 9.13 g/cm3

=====

*R*
A plane-wave DFT calculation with PBE was carried out for a relaxed structure of YEr2Hg.

Lattice parameters (Å, degrees): 3.5811 3.5811 8.8954 90.00 90.00 90.00
Space group P4/mmm (No. 123)
Asymmetric unit:
Y 0.0000 0.0000 0.0000 (multiplicity 1)
Er 0.5000 0.5000 0.2791 (multiplicity 2)
Hg 0.0000 0.0000 0.5000 (multiplicity 1)

Results
- N(E_F): 1.18 states/eV per atom
- Calculated density: 9.08 g/cm3

=====

The most stable arrangement is *Q*, and the next structure is 20 meV/atom less stable.